Entry from the Alexandria database: an optimized crystal structure of Cd2FeIr (GGA-PBE).

Calculated values
The formation energy comes out at 0.374 eV/atom. Its magnetization is 2.697 Bohr magnetons per cell. Its total energy is -4.4147 eV/atom. The density of states at the Fermi level comes out at 4.354 states/eV/f.u. The value obtained for the excess energy over the best structure of this formula in the dataset is 6.24 kcal/mol of atoms.

Lattice parameters (Å, degrees): 4.607 4.607 3.150 90.00 90.00 90.00
Positions (direct):
Cd1 0.000 0.500 0.000
Cd2 0.500 0.000 0.000
Fe1 0.000 0.000 0.500
Ir1 0.500 0.500 0.500

Entry from the Alexandria database: an optimized crystal structure of Cd2FeIr (GGA-PBE).

Calculated values
The formation energy comes out at 0.103 eV/atom. Its magnetization is 3.020 Bohr magnetons per cell. Its total energy is -4.6852 eV/atom. The density of states at the Fermi level comes out at 2.603 states/eV/f.u. The value obtained for the excess energy over the best structure of this formula in the dataset is 0.00 kcal/mol of atoms.

Lattice parameters (Å, degrees): 2.975 2.975 7.725 90.00 90.00 90.00
Positions (direct):
Cd1 0.000 0.000 0.000
Cd2 0.500 0.500 0.312
Fe1 0.000 0.000 0.558
Ir1 0.500 0.500 0.740

Entry from the Alexandria database: an optimized crystal structure of Cd2FeIr (GGA-PBE).

Calculated values
The formation energy comes out at 0.290 eV/atom. Its magnetization is 3.301 Bohr magnetons per cell. Its total energy is -4.4985 eV/atom. The density of states at the Fermi level comes out at 2.007 states/eV/f.u. The value obtained for the excess energy over the best structure of this formula in the dataset is 4.31 kcal/mol of atoms.

Lattice parameters (Å, degrees): 3.188 4.530 4.634 90.00 90.00 90.00
Positions (direct):
Cd1 0.000 0.000 0.000
Cd2 0.500 0.500 0.000
Fe1 0.000 0.500 0.500
Ir1 0.500 0.000 0.500

Entry from the Alexandria database: an optimized crystal structure of CdFe2Ir (GGA-PBE).

Calculated values
The formation energy comes out at 0.283 eV/atom. Its magnetization is 6.234 Bohr magnetons per cell. Its total energy is -6.3928 eV/atom. The density of states at the Fermi level comes out at 3.734 states/eV/f.u.

Lattice parameters (Å, degrees): 5.176 5.176 5.176 145.79 128.67 63.14
Positions (direct):
Cd1 0.000 0.000 0.000
Fe1 0.264 0.764 0.500
Fe2 0.736 0.236 0.500
Ir1 0.500 0.500 0.000

Entry from the Alexandria database: an optimized crystal structure of CdFeIr (GGA-PBE).

Calculated values
The formation energy comes out at 0.180 eV/atom. Its magnetization is 2.744 Bohr magnetons per cell. Its total energy is -5.8992 eV/atom. The density of states at the Fermi level comes out at 3.329 states/eV/f.u. The value obtained for the excess energy over the best structure of this formula in the dataset is 0.99 kcal/mol of atoms.

Lattice parameters (Å, degrees): 2.802 2.802 6.797 90.00 90.00 120.00
Positions (direct):
Cd1 0.000 0.000 0.000
Fe1 0.667 0.333 0.345
Ir1 0.333 0.667 0.638

Entry from the Alexandria database: an optimized crystal structure of CdFe2Ir (GGA-PBE).

Calculated values
The formation energy comes out at 0.260 eV/atom. Its magnetization is 5.764 Bohr magnetons per cell. Its total energy is -6.4156 eV/atom. The density of states at the Fermi level comes out at 3.916 states/eV/f.u.

Lattice parameters (Å, degrees): 4.720 4.720 4.788 100.63 100.63 34.90
Positions (direct):
Cd1 0.000 0.000 0.000
Fe1 0.242 0.242 0.711
Fe2 0.758 0.758 0.289
Ir1 0.500 0.500 0.500

Entry from the Alexandria database: an optimized crystal structure of Cd2FeIr (GGA-PBE).

Calculated values
The formation energy comes out at 0.263 eV/atom. Its magnetization is 3.342 Bohr magnetons per cell. Its total energy is -4.5251 eV/atom. The density of states at the Fermi level comes out at 3.861 states/eV/f.u. The value obtained for the excess energy over the best structure of this formula in the dataset is 3.69 kcal/mol of atoms.

Lattice parameters (Å, degrees): 5.073 5.073 5.073 133.78 133.78 67.44
Positions (direct):
Cd1 0.250 0.750 0.500
Cd2 0.750 0.250 0.500
Fe1 0.000 0.000 0.000
Ir1 0.500 0.500 0.000

Entry from the Alexandria database: an optimized crystal structure of Cd2FeIr (GGA-PBE).

Calculated values
The formation energy comes out at 0.281 eV/atom. Its magnetization is 3.278 Bohr magnetons per cell. Its total energy is -4.5074 eV/atom. The density of states at the Fermi level comes out at 1.856 states/eV/f.u. The value obtained for the excess energy over the best structure of this formula in the dataset is 4.10 kcal/mol of atoms.

Lattice parameters (Å, degrees): 5.375 5.375 5.375 145.31 130.43 61.92
Positions (direct):
Cd1 0.244 0.244 0.000
Cd2 0.756 0.756 0.000
Fe1 0.000 0.500 0.500
Ir1 0.500 0.000 0.500

Entry from the Alexandria database: an optimized crystal structure of Cd2FeIr2 (GGA-PBE).

Calculated values
The formation energy comes out at 0.197 eV/atom. Its magnetization is 6.525 Bohr magnetons per cell. Its total energy is -5.4063 eV/atom. The density of states at the Fermi level comes out at 3.007 states/eV/f.u.

Lattice parameters (Å, degrees): 6.356 6.356 4.405 90.00 90.00 90.00
Positions (direct):
Cd1 0.173 0.327 0.000
Cd2 0.327 0.827 0.000
Cd3 0.673 0.173 0.000
Cd4 0.827 0.673 0.000
Fe1 0.000 0.000 0.500
Fe2 0.500 0.500 0.500
Ir1 0.136 0.636 0.500
Ir2 0.364 0.136 0.500
Ir3 0.636 0.864 0.500
Ir4 0.864 0.364 0.500

Entry from the Alexandria database: an optimized crystal structure of CdFe2Ir (GGA-PBE).

Calculated values
The formation energy comes out at 0.163 eV/atom. Its magnetization is 5.241 Bohr magnetons per cell. Its total energy is -6.5127 eV/atom. The density of states at the Fermi level comes out at 4.292 states/eV/f.u.

Lattice parameters (Å, degrees): 2.752 2.752 7.721 90.00 90.00 90.00
Positions (direct):
Cd1 0.000 0.000 0.000
Fe1 0.500 0.500 0.273
Fe2 0.500 0.500 0.727
Ir1 0.000 0.000 0.500

Entry from the Alexandria database: an optimized crystal structure of CdFe2Ir (GGA-PBE).

Calculated values
The formation energy comes out at 0.247 eV/atom. Its magnetization is 6.408 Bohr magnetons per cell. Its total energy is -6.4285 eV/atom. The density of states at the Fermi level comes out at 3.389 states/eV/f.u.

Lattice parameters (Å, degrees): 4.678 4.678 4.678 129.84 129.84 73.66
Positions (direct):
Cd1 0.000 0.000 0.000
Fe1 0.250 0.750 0.500
Fe2 0.750 0.250 0.500
Ir1 0.500 0.500 0.000

Entry from the Alexandria database: an optimized crystal structure of Cd2FeIr (GGA-PBE).

Calculated values
The formation energy comes out at 0.247 eV/atom. Its magnetization is 3.227 Bohr magnetons per cell. Its total energy is -4.5414 eV/atom. The density of states at the Fermi level comes out at 2.804 states/eV/f.u. The value obtained for the excess energy over the best structure of this formula in the dataset is 3.32 kcal/mol of atoms.

Lattice parameters (Å, degrees): 4.821 4.821 4.821 128.58 128.58 75.68
Positions (direct):
Cd1 0.000 0.000 0.000
Cd2 0.750 0.250 0.500
Fe1 0.250 0.750 0.500
Ir1 0.500 0.500 0.000

Entry from the Alexandria database: an optimized crystal structure of CdFe2Ir (GGA-PBE).

Calculated values
The formation energy comes out at 0.189 eV/atom. Its magnetization is 6.039 Bohr magnetons per cell. Its total energy is -6.4864 eV/atom. The density of states at the Fermi level comes out at 3.135 states/eV/f.u.

Lattice parameters (Å, degrees): 5.124 5.124 4.445 114.61 114.61 33.69
Positions (direct):
Cd1 0.000 0.000 0.000
Fe1 0.239 0.239 0.742
Fe2 0.517 0.517 0.517
Ir1 0.773 0.773 0.277

Entry from the Alexandria database: an optimized crystal structure of Cd2FeIr (GGA-PBE).

Calculated values
The formation energy comes out at 0.335 eV/atom. Its magnetization is 2.645 Bohr magnetons per cell. Its total energy is -4.4539 eV/atom. The density of states at the Fermi level comes out at 3.877 states/eV/f.u. The value obtained for the excess energy over the best structure of this formula in the dataset is 5.33 kcal/mol of atoms.

Lattice parameters (Å, degrees): 2.874 2.874 8.091 90.00 90.00 90.00
Positions (direct):
Cd1 0.000 0.000 0.250
Cd2 0.000 0.000 0.750
Fe1 0.500 0.500 0.000
Ir1 0.500 0.500 0.500

Entry from the Alexandria database: an optimized crystal structure of CdFe2Ir (GGA-PBE).

Calculated values
The formation energy comes out at 0.143 eV/atom. Its magnetization is 5.963 Bohr magnetons per cell. Its total energy is -6.5329 eV/atom. The density of states at the Fermi level comes out at 4.940 states/eV/f.u.

Lattice parameters (Å, degrees): 2.994 2.994 6.569 90.00 90.00 90.00
Positions (direct):
Cd1 0.000 0.000 0.000
Fe1 0.000 0.000 0.481
Fe2 0.500 0.500 0.283
Ir1 0.500 0.500 0.701